The following is a DFT calculation (PBE with a Hubbard U) of crystalline Co2TeCl2O3 at its relaxed geometry.

The calculation puts the magnetic moment at 5.9 μB per formula unit. The calculation puts the total energy at -39.856 eV/f.u. Its crystal system is monoclinic. Its density of states at the Fermi level is 0.00 states/eV per cell.

The structure belongs to space group P2_1/m (No. 11); the cell edges are 5.090, 6.816 and 8.380 Å and the angles 90.00°, 106.27° and 90.00°. The inequivalent atoms are Co at (0.000, 0.000, 0.000), Co at (0.244, 0.250, 0.789), Te at (0.395, 0.750, 0.751), Cl at (0.160, 0.250, 0.500), Cl at (0.258, 0.750, 0.202), O at (0.231, 0.539, 0.838) and O at (0.261, 0.250, 0.067).